a | Density functional theory data (PBE-GGA) for a geometry-optimized NaPtF structure.

It has space group P6_3/mmc (No. 194), with a = 3.9804 Å, b = 3.9804 Å, c = 8.2040 Å, α = 90.00°, β = 90.00° and γ = 120.00°. The inequivalent atoms are Na at (0.0000, 0.0000, 0.0000), Pt at (0.3333, 0.6667, 0.2500) and F at (0.3333, 0.6667, 0.7500).

For the volume, the calculation gives 112.6 Å³ per cell. The crystal system is hexagonal. For the total magnetization, the calculation gives 0.000 μB per atom.


b | Density functional theory data (PBE-GGA) for a geometry-optimized NaPtF structure.

It has space group R3m (No. 160, hexagonal axes), with a = 2.9193 Å, b = 2.9193 Å, c = 33.5572 Å, α = 90.00°, β = 90.00° and γ = 120.00°. The inequivalent atoms are Na at (0.0000, 0.0000, 0.0000), Na at (0.0000, 0.0000, 0.2455), Pt at (0.0000, 0.0000, 0.4085), Pt at (0.0000, 0.0000, 0.8087), F at (0.0000, 0.0000, 0.6241) and F at (0.0000, 0.0000, 0.8717).

For the volume, the calculation gives 247.7 Å³ per cell. The crystal system is trigonal. For the total magnetization, the calculation gives 0.000 μB per atom.


According to the calculations, the structures order from most to least stable as b, a.


a | Density functional theory data (PBE-GGA) for a geometry-optimized Na6PuF12 structure.

It has space group R-3 (No. 148, hexagonal axes), with a = 10.2927 Å, b = 10.2927 Å, c = 9.7895 Å, α = 90.00°, β = 90.00° and γ = 120.00°. The inequivalent atoms are Na at (0.0070, 0.7807, 0.1225), Pu at (0.0000, 0.0000, 0.5000), F at (0.0054, 0.7868, 0.8890) and F at (0.0095, 0.8420, 0.3800).

For the volume, the calculation gives 898.1 Å³ per cell. The crystal system is trigonal. For the total magnetization, the calculation gives 0.182 μB per atom.


b | Density functional theory data (PBE-GGA) for a geometry-optimized Na6PuF12 structure.

It has space group R-3 (No. 148, hexagonal axes), with a = 9.2213 Å, b = 9.2213 Å, c = 13.4560 Å, α = 90.00°, β = 90.00° and γ = 120.00°. The inequivalent atoms are Na at (0.0143, 0.7663, 0.2576), Pu at (0.0000, 0.0000, 0.0000), F at (0.0141, 0.7715, 0.7175) and F at (0.0676, 0.1982, 0.0947).

For the volume, the calculation gives 990.9 Å³ per cell. The crystal system is trigonal. For the total magnetization, the calculation gives 0.094 μB per atom.


According to the calculations, the structures order from most to least stable as a, b.


a | Density functional theory data (PBE-GGA) for a geometry-optimized Na2Pu2F7 structure.

It has space group C2/m (No. 12), with a = 8.442 Å, b = 7.832 Å, c = 5.842 Å, α = 90.00°, β = 90.10° and γ = 90.00°. The inequivalent atoms are Na at (0.000, 0.224, 0.000), Pu at (0.225, 0.000, 0.500), F at (0.000, 0.000, 0.247), F at (0.000, 0.500, 0.500) and F at (0.250, 0.250, 0.254).

For the volume, the calculation gives 386.3 Å³ per cell. The crystal system is monoclinic. For the total magnetization, the calculation gives 0.995 μB per atom.


b | Density functional theory data (PBE-GGA) for a geometry-optimized Na2Pu2F7 structure.

It has space group Cmmm (No. 65), with a = 7.736 Å, b = 8.086 Å, c = 5.518 Å, α = 90.00°, β = 90.00° and γ = 90.00°. The inequivalent atoms are Na at (0.000, 0.230, 0.000), Pu at (0.246, 0.500, 0.500), F at (0.000, 0.000, 0.261), F at (0.000, 0.500, 0.000) and F at (0.250, 0.250, 0.265).

For the volume, the calculation gives 345.1 Å³ per cell. The crystal system is orthorhombic. For the total magnetization, the calculation gives 1.000 μB per atom.


According to the calculations, the structures order from most to least stable as a, b.


a | Density functional theory data (PBE-GGA) for a geometry-optimized NaPuF2 structure.

It has space group P4/mmm (No. 123), with a = 4.759 Å, b = 4.759 Å, c = 2.963 Å, α = 90.00°, β = 90.00° and γ = 90.00°. The inequivalent atoms are Na at (0.000, 0.000, 0.000), Pu at (0.500, 0.500, 0.000) and F at (0.000, 0.500, 0.500).

For the volume, the calculation gives 67.1 Å³ per cell. The crystal system is tetragonal. For the total magnetization, the calculation gives 1.665 μB per atom.


b | Density functional theory data (PBE-GGA) for a geometry-optimized NaPuF2 structure.

It has space group R-3m (No. 166, hexagonal axes), with a = 3.4820 Å, b = 3.4820 Å, c = 23.1629 Å, α = 90.00°, β = 90.00° and γ = 120.00°. The inequivalent atoms are Na at (0.0000, 0.0000, 0.0000), Pu at (0.0000, 0.0000, 0.5000) and F at (0.0000, 0.0000, 0.0992).

For the volume, the calculation gives 243.2 Å³ per cell. The crystal system is trigonal. For the total magnetization, the calculation gives 1.611 μB per atom.


According to the calculations, the structures order from most to least stable as b, a.